1.
The following is a DFT calculation (PBE) of a relaxed MnCdCl4 crystal.

Computed properties:
energy above the lowest structure with this stoichiometry	339	meV/atom
SG	C2/m
raw formation energy	-0.74	eV/atom
crystal system	monoclinic
density of states at the Fermi level	2.43	states/eV/f.u.

Cell lengths 7.2767, 7.2767, 6.6305 Å; angles 117.03, 117.03, 28.87 degrees
Fractional coordinates of all 6 atoms:
Mn: 0.0000 0.0000 0.0000
Cd: 0.5000 0.5000 0.5000
Cl: 0.1084 0.1084 0.3992
Cl: 0.3979 0.3979 0.0394
Cl: 0.6021 0.6021 0.9606
Cl: 0.8916 0.8916 0.6008

=====

2.
The following is a DFT calculation (PBE) of a relaxed Na3Tl2Pb4 crystal.

Computed properties:
energy above the lowest structure with this stoichiometry	3	meV/atom
E_form	-0.11	eV per atom
SG	C2/m
crystal system	monoclinic
density of states at the Fermi level	3.22	states/eV/f.u.

Cell lengths 6.2254, 6.2254, 10.1820 Å; angles 111.39, 111.39, 47.19 degrees
Fractional coordinates of all 9 atoms:
Na: 0.0000 0.0000 0.0000
Na: 0.3317 0.3317 0.4449
Na: 0.6683 0.6683 0.5551
Tl: 0.3287 0.3287 0.7825
Tl: 0.6713 0.6713 0.2175
Pb: 0.0019 0.0019 0.6646
Pb: 0.3411 0.3411 0.1213
Pb: 0.6589 0.6589 0.8787
Pb: 0.9981 0.9981 0.3354

=====

3.
The following is a DFT calculation (PBE) of a relaxed Cr2CoSn crystal.

Computed properties:
E_form	0.66	eV per atom
SG	I-42d
crystal system	tetragonal
density of states at the Fermi level	3.69	states/eV/f.u.

Cell lengths 5.4962, 5.4962, 5.4962 Å; angles 102.51, 102.51, 124.52 degrees
Fractional coordinates of all 8 atoms:
Cr: 0.0677 0.6250 0.9427
Cr: 0.3750 0.3177 0.4427
Cr: 0.6823 0.1250 0.0573
Cr: 0.8750 0.9323 0.5573
Co: 0.0000 0.0000 0.0000
Co: 0.7500 0.2500 0.5000
Sn: 0.2500 0.7500 0.5000
Sn: 0.5000 0.5000 0.0000

=====

4.
The following is a DFT calculation (PBE) of a relaxed Cd5HgRh crystal.

Computed properties:
E_form	0.04	eV per atom
SG	C2/c
crystal system	monoclinic
density of states at the Fermi level	2.63	states/eV/f.u.

Cell lengths 6.7693, 6.7693, 9.5603 Å; angles 106.25, 106.25, 50.27 degrees
Fractional coordinates of all 14 atoms:
Cd: 0.1269 0.3245 0.1356
Cd: 0.2446 0.7554 0.7500
Cd: 0.2870 0.4515 0.4531
Cd: 0.3245 0.1269 0.6356
Cd: 0.4515 0.2870 0.9531
Cd: 0.5485 0.7130 0.0469
Cd: 0.6755 0.8731 0.3644
Cd: 0.7130 0.5485 0.5469
Cd: 0.7554 0.2446 0.2500
Cd: 0.8731 0.6755 0.8644
Hg: 0.2520 0.7480 0.2500
Hg: 0.7480 0.2520 0.7500
Rh: 0.0000 0.0000 0.0000
Rh: 0.0000 0.0000 0.5000

=====

5.
The following is a DFT calculation (PBE) of a relaxed La3HoTm7 crystal.

Computed properties:
energy above the lowest structure with this stoichiometry	0	meV/atom
E_form	0.17	eV per atom
SG	P-1
crystal system	triclinic
density of states at the Fermi level	16.27	states/eV/f.u.

Cell lengths 5.4914, 6.9583, 9.9916 Å; angles 71.15, 89.99, 89.94 degrees
Fractional coordinates of all 11 atoms:
La: 0.0000 0.0000 0.0000
La: 0.4996 0.2812 0.5061
La: 0.5004 0.7188 0.4939
Ho: 0.0000 0.5000 0.0000
Tm: 0.0000 0.0000 0.5000
Tm: 0.9998 0.4285 0.6709
Tm: 0.0002 0.5715 0.3291
Tm: 0.5003 0.1493 0.2103
Tm: 0.4999 0.3239 0.8656
Tm: 0.5001 0.6761 0.1344
Tm: 0.4997 0.8507 0.7897

=====

6.
The following is a DFT calculation (PBE) of a relaxed Ce2BiPb crystal.

Computed properties:
energy above the lowest structure with this stoichiometry	21	meV/atom
E_form	-0.50	eV per atom
SG	P4/mmm
crystal system	tetragonal
density of states at the Fermi level	12.42	states/eV/f.u.

Cell lengths 3.7251, 3.7251, 8.7263 Å; angles 90.00, 90.00, 90.00 degrees
Fractional coordinates of all 4 atoms:
Ce: 0.0000 0.0000 0.2446
Ce: 0.0000 0.0000 0.7554
Bi: 0.5000 0.5000 0.0000
Pb: 0.5000 0.5000 0.5000

=====

7.
The following is a DFT calculation (PBE) of a relaxed IrOsRu3 crystal.

Computed properties:
energy above the lowest structure with this stoichiometry	603	meV/atom
E_form	0.65	eV per atom
SG	C2/m
crystal system	monoclinic
density of states at the Fermi level	6.07	states/eV/f.u.

Cell lengths 5.5723, 5.5723, 7.8215 Å; angles 109.58, 109.58, 46.33 degrees
Fractional coordinates of all 10 atoms:
Ir: 0.1127 0.1127 0.1314
Ir: 0.8873 0.8873 0.8686
Os: 0.3772 0.3772 0.3648
Os: 0.6228 0.6228 0.6352
Ru: 0.1581 0.1581 0.4902
Ru: 0.3230 0.3230 0.0251
Ru: 0.4204 0.4204 0.7313
Ru: 0.5796 0.5796 0.2687
Ru: 0.6770 0.6770 0.9749
Ru: 0.8419 0.8419 0.5098

=====

8.
The following is a DFT calculation (PBE) of a relaxed MgNbCu crystal.

Computed properties:
energy above the lowest structure with this stoichiometry	43	meV/atom
E_form	0.09	eV per atom
SG	Pm
crystal system	monoclinic
density of states at the Fermi level	1.39	states/eV/f.u.

Cell lengths 4.3849, 3.1812, 7.5238 Å; angles 90.00, 106.85, 90.00 degrees
Fractional coordinates of all 6 atoms:
Mg: 0.0000 0.0000 0.0000
Mg: 0.3592 0.0000 0.7173
Nb: 0.1786 0.5000 0.3586
Nb: 0.6788 0.0000 0.3591
Cu: 0.5241 0.5000 0.0478
Cu: 0.8361 0.5000 0.6706

=====

9.
The following is a DFT calculation (PBE) of a relaxed TeOsF2 crystal.

Computed properties:
energy above the lowest structure with this stoichiometry	846	meV/atom
SG	Fm-3m
raw formation energy	0.30	eV/atom
crystal system	cubic
density of states at the Fermi level	2.84	states/eV/f.u.

Cell lengths 4.4159, 4.4159, 4.4159 Å; angles 60.00, 60.00, 60.00 degrees
Fractional coordinates of all 4 atoms:
Te: 0.0000 0.0000 0.0000
Os: 0.5000 0.5000 0.5000
F: 0.2500 0.2500 0.2500
F: 0.7500 0.7500 0.7500

=====

10.
The following is a DFT calculation (PBE) of a relaxed Zn3NiAg2 crystal.

Computed properties:
E_form	-0.07	eV per atom
SG	Cmmm
crystal system	orthorhombic
density of states at the Fermi level	2.93	states/eV/f.u.

Cell lengths 6.5623, 6.5623, 7.0236 Å; angles 90.00, 90.00, 143.72 degrees
Fractional coordinates of all 12 atoms:
Zn: 0.0000 0.0000 0.2370
Zn: 0.0000 0.0000 0.7630
Zn: 0.3234 0.6766 0.2199
Zn: 0.3234 0.6766 0.7801
Zn: 0.6766 0.3234 0.2199
Zn: 0.6766 0.3234 0.7801
Ni: 0.1620 0.8380 0.0000
Ni: 0.8380 0.1620 0.0000
Ag: 0.1653 0.8347 0.5000
Ag: 0.5000 0.5000 0.0000
Ag: 0.5000 0.5000 0.5000
Ag: 0.8347 0.1653 0.5000

=====

11.
The following is a DFT calculation (PBE) of a relaxed PrPd4Au5 crystal.

Computed properties:
E_form	-0.27	eV per atom
SG	Pmmn
crystal system	orthorhombic
density of states at the Fermi level	5.18	states/eV/f.u.

Cell lengths 8.2591, 9.8655, 4.7706 Å; angles 90.00, 90.00, 90.00 degrees
Fractional coordinates of all 20 atoms:
Pr: 0.2500 0.2500 0.1568
Pr: 0.7500 0.7500 0.8432
Pd: 0.0028 0.7500 0.3824
Pd: 0.2500 0.5608 0.2595
Pd: 0.2500 0.9392 0.2595
Pd: 0.4972 0.7500 0.3824
Pd: 0.5028 0.2500 0.6176
Pd: 0.7500 0.0608 0.7405
Pd: 0.7500 0.4392 0.7405
Pd: 0.9972 0.2500 0.6176
Au: 0.0802 0.5108 0.7523
Au: 0.0802 0.9892 0.7523
Au: 0.2500 0.7500 0.8196
Au: 0.4198 0.5108 0.7523
Au: 0.4198 0.9892 0.7523
Au: 0.5802 0.0108 0.2477
Au: 0.5802 0.4892 0.2477
Au: 0.7500 0.2500 0.1804
Au: 0.9198 0.0108 0.2477
Au: 0.9198 0.4892 0.2477

=====

12.
The following is a DFT calculation (PBE) of a relaxed SrMgGe2 crystal.

Computed properties:
E_form	-0.14	eV per atom
SG	I-42d
crystal system	tetragonal
density of states at the Fermi level	0.81	states/eV/f.u.

Cell lengths 9.6379, 9.6379, 9.6379 Å; angles 149.57, 149.57, 43.58 degrees
Fractional coordinates of all 8 atoms:
Sr: 0.0000 0.0000 0.0000
Sr: 0.7500 0.2500 0.5000
Mg: 0.2500 0.7500 0.5000
Mg: 0.5000 0.5000 0.0000
Ge: 0.2466 0.6250 0.1216
Ge: 0.3750 0.4966 0.6216
Ge: 0.5034 0.1250 0.8784
Ge: 0.8750 0.7534 0.3784